The following is a DFT calculation (PBE-GGA) of a relaxed structure of Na2LiAu.

Cell lengths 5.025, 5.025, 5.025 Å; angles 60.00, 60.00, 60.00 degrees
Element x y z (fractional)
Na1 0.250 0.250 0.250
Na2 0.750 0.750 0.750
Li1 0.000 0.000 0.000
Au1 0.500 0.500 0.500

Summary:
Total magnetic moment: 0.0000 μB per atom
Crystal system: cubic
Electronic total energy: -8.52 eV/f.u.

***

The following is a DFT calculation (PBE-GGA) of a relaxed structure of NaLi9Au2.

Cell lengths 8.823, 8.823, 8.823 Å; angles 99.86, 99.86, 131.12 degrees
Element x y z (fractional)
Na1 0.375 0.625 0.750
Na2 0.625 0.375 0.250
Li1 0.125 0.875 0.250
Li2 0.136 0.568 0.321
Li3 0.136 0.814 0.568
Li4 0.186 0.253 0.321
Li5 0.186 0.864 0.932
Li6 0.253 0.186 0.821
Li7 0.253 0.432 0.068
Li8 0.432 0.253 0.568
Li9 0.432 0.864 0.179
Li10 0.568 0.136 0.821
Li11 0.568 0.747 0.432
Li12 0.747 0.568 0.932
Li13 0.747 0.814 0.179
Li14 0.814 0.136 0.068
Li15 0.814 0.747 0.679
Li16 0.864 0.186 0.432
Li17 0.864 0.432 0.679
Li18 0.875 0.125 0.750
Au1 0.000 0.000 0.000
Au2 0.000 0.000 0.500
Au3 0.000 0.500 0.000
Au4 0.500 0.000 0.500

Summary:
Total magnetic moment: 0.0000 μB per atom
Crystal system: tetragonal
Electronic total energy: -27.76 eV/f.u.

***

The following is a DFT calculation (PBE-GGA) of a relaxed structure of Na3Li2Au4.

Cell lengths 5.671, 5.671, 8.836 Å; angles 97.12, 97.12, 46.51 degrees
Element x y z (fractional)
Na1 0.000 0.000 0.000
Na2 0.374 0.374 0.609
Na3 0.626 0.626 0.391
Li1 0.330 0.330 0.215
Li2 0.670 0.670 0.785
Au1 0.085 0.085 0.632
Au2 0.262 0.262 0.906
Au3 0.738 0.738 0.094
Au4 0.915 0.915 0.368

Summary:
Total magnetic moment: 0.0000 μB per atom
Crystal system: monoclinic
Electronic total energy: -24.13 eV/f.u.

***

The following is a DFT calculation (PBE-GGA) of a relaxed structure of Na2LiAu.

Cell lengths 3.773, 3.773, 6.737 Å; angles 90.00, 90.00, 90.00 degrees
Element x y z (fractional)
Na1 0.000 0.000 0.227
Na2 0.000 0.000 0.773
Li1 0.500 0.500 0.500
Au1 0.500 0.500 0.000

Summary:
Total magnetic moment: 0.0000 μB per atom
Crystal system: tetragonal
Electronic total energy: -8.39 eV/f.u.

***

The following is a DFT calculation (PBE-GGA) of a relaxed structure of NaLi2Au3.

Cell lengths 6.969, 6.969, 5.480 Å; angles 90.00, 90.00, 78.84 degrees
Element x y z (fractional)
Na1 0.225 0.775 0.750
Na2 0.775 0.225 0.250
Li1 0.297 0.297 0.000
Li2 0.297 0.297 0.500
Li3 0.703 0.703 0.000
Li4 0.703 0.703 0.500
Au1 0.023 0.533 0.250
Au2 0.425 0.575 0.250
Au3 0.467 0.977 0.250
Au4 0.533 0.023 0.750
Au5 0.575 0.425 0.750
Au6 0.977 0.467 0.750

Summary:
Total magnetic moment: 0.0000 μB per atom
Crystal system: orthorhombic
Electronic total energy: -17.04 eV/f.u.

***

The following is a DFT calculation (PBE-GGA) of a relaxed structure of NaLi5Au4.

Cell lengths 3.250, 3.250, 16.229 Å; angles 90.00, 90.00, 90.00 degrees
Element x y z (fractional)
Na1 0.000 0.000 0.000
Li1 0.500 0.500 0.143
Li2 0.500 0.500 0.318
Li3 0.500 0.500 0.500
Li4 0.500 0.500 0.682
Li5 0.500 0.500 0.857
Au1 0.000 0.000 0.224
Au2 0.000 0.000 0.409
Au3 0.000 0.000 0.591
Au4 0.000 0.000 0.776

Summary:
Total magnetic moment: 0.0000 μB per atom
Crystal system: tetragonal
Electronic total energy: -28.41 eV/f.u.

***

The following is a DFT calculation (PBE-GGA) of a relaxed structure of NaLi2Au.

Cell lengths 3.280, 3.280, 7.618 Å; angles 90.00, 90.00, 90.00 degrees
Element x y z (fractional)
Na1 0.000 0.000 0.000
Li1 0.500 0.500 0.318
Li2 0.500 0.500 0.682
Au1 0.000 0.000 0.500

Summary:
Total magnetic moment: 0.0000 μB per atom
Crystal system: tetragonal
Electronic total energy: -9.59 eV/f.u.

***

The following is a DFT calculation (PBE-GGA) of a relaxed structure of Na2LiAu.

Cell lengths 4.700, 4.700, 8.574 Å; angles 105.92, 105.92, 89.51 degrees
Element x y z (fractional)
Na1 0.000 0.500 0.000
Na2 0.143 0.143 0.287
Na3 0.500 0.000 0.000
Na4 0.857 0.857 0.713
Li1 0.250 0.750 0.500
Li2 0.750 0.250 0.500
Au1 0.347 0.347 0.694
Au2 0.653 0.653 0.306

Summary:
Total magnetic moment: 0.0000 μB per atom
Crystal system: monoclinic
Electronic total energy: -8.79 eV/f.u.

***

The following is a DFT calculation (PBE-GGA) of a relaxed structure of Na2Li2Au.

Cell lengths 6.784, 6.784, 5.039 Å; angles 90.00, 90.00, 90.00 degrees
Element x y z (fractional)
Na1 0.185 0.315 0.000
Na2 0.315 0.815 0.000
Na3 0.685 0.185 0.000
Na4 0.815 0.685 0.000
Li1 0.148 0.648 0.500
Li2 0.352 0.148 0.500
Li3 0.648 0.852 0.500
Li4 0.852 0.352 0.500
Au1 0.000 0.000 0.500
Au2 0.500 0.500 0.500

Summary:
Total magnetic moment: 0.0000 μB per atom
Crystal system: tetragonal
Electronic total energy: -10.58 eV/f.u.

***

The following is a DFT calculation (PBE-GGA) of a relaxed structure of NaLiAu10.

Cell lengths 4.675, 5.569, 9.646 Å; angles 90.00, 90.00, 90.00 degrees
Element x y z (fractional)
Na1 0.000 0.000 0.000
Li1 0.000 0.500 0.500
Au1 0.000 0.000 0.338
Au2 0.000 0.000 0.662
Au3 0.000 0.500 0.173
Au4 0.000 0.500 0.827
Au5 0.500 0.000 0.500
Au6 0.500 0.250 0.250
Au7 0.500 0.250 0.750
Au8 0.500 0.500 0.000
Au9 0.500 0.750 0.250
Au10 0.500 0.750 0.750

Summary:
Total magnetic moment: 0.0000 μB per atom
Crystal system: orthorhombic
Electronic total energy: -38.13 eV/f.u.

***

The following is a DFT calculation (PBE-GGA) of a relaxed structure of Na2LiAu2.

Cell lengths 5.594, 5.594, 8.332 Å; angles 100.04, 100.04, 61.41 degrees
Element x y z (fractional)
Na1 0.018 0.286 0.155
Na2 0.286 0.018 0.655
Na3 0.714 0.982 0.345
Na4 0.982 0.714 0.845
Li1 0.381 0.619 0.250
Li2 0.619 0.381 0.750
Au1 0.243 0.502 0.497
Au2 0.498 0.757 0.003
Au3 0.502 0.243 0.997
Au4 0.757 0.498 0.503

Summary:
Total magnetic moment: 0.0000 μB per atom
Crystal system: monoclinic
Electronic total energy: -12.96 eV/f.u.

***

The following is a DFT calculation (PBE-GGA) of a relaxed structure of NaLiAu3.

Cell lengths 6.968, 6.968, 6.968 Å; angles 146.64, 146.64, 47.89 degrees
Element x y z (fractional)
Na1 0.000 0.000 0.000
Li1 0.618 0.618 0.000
Au1 0.252 0.752 0.500
Au2 0.419 0.419 0.000
Au3 0.752 0.252 0.500

Summary:
Total magnetic moment: 0.0000 μB per atom
Crystal system: tetragonal
Electronic total energy: -14.36 eV/f.u.

***

The following is a DFT calculation (PBE-GGA) of a relaxed structure of NaLi5Au3.

Cell lengths 7.971, 7.971, 5.553 Å; angles 90.00, 90.00, 120.00 degrees
Element x y z (fractional)
Na1 0.000 0.000 0.000
Na2 0.000 0.000 0.500
Li1 0.000 0.332 0.250
Li2 0.000 0.668 0.750
Li3 0.332 0.000 0.250
Li4 0.332 0.332 0.750
Li5 0.333 0.667 0.000
Li6 0.333 0.667 0.500
Li7 0.667 0.333 0.000
Li8 0.667 0.333 0.500
Li9 0.668 0.000 0.750
Li10 0.668 0.668 0.250
Au1 0.000 0.348 0.750
Au2 0.000 0.652 0.250
Au3 0.348 0.000 0.750
Au4 0.348 0.348 0.250
Au5 0.652 0.000 0.250
Au6 0.652 0.652 0.750

Summary:
Total magnetic moment: 0.0000 μB per atom
Crystal system: hexagonal
Electronic total energy: -24.30 eV/f.u.

***

The following is a DFT calculation (PBE-GGA) of a relaxed structure of Na2Li9Au6.

Cell lengths 5.699, 5.699, 12.429 Å; angles 90.00, 90.00, 120.00 degrees
Element x y z (fractional)
Na1 0.000 0.000 0.170
Na2 0.000 0.000 0.830
Li1 0.000 0.500 0.000
Li2 0.000 0.500 0.337
Li3 0.000 0.500 0.663
Li4 0.500 0.000 0.000
Li5 0.500 0.000 0.337
Li6 0.500 0.000 0.663
Li7 0.500 0.500 0.000
Li8 0.500 0.500 0.337
Li9 0.500 0.500 0.663
Au1 0.333 0.667 0.169
Au2 0.333 0.667 0.500
Au3 0.333 0.667 0.831
Au4 0.667 0.333 0.169
Au5 0.667 0.333 0.500
Au6 0.667 0.333 0.831

Summary:
Total magnetic moment: 0.0000 μB per atom
Crystal system: hexagonal
Electronic total energy: -44.65 eV/f.u.

***

The following is a DFT calculation (PBE-GGA) of a relaxed structure of NaLi4Au4.

Cell lengths 8.104, 8.104, 4.701 Å; angles 90.00, 90.00, 90.00 degrees
Element x y z (fractional)
Na1 0.250 0.250 0.250
Na2 0.750 0.750 0.750
Li1 0.099 0.804 0.748
Li2 0.196 0.599 0.248
Li3 0.304 0.901 0.248
Li4 0.401 0.696 0.748
Li5 0.599 0.304 0.252
Li6 0.696 0.099 0.752
Li7 0.804 0.401 0.752
Li8 0.901 0.196 0.252
Au1 0.028 0.118 0.751
Au2 0.118 0.472 0.749
Au3 0.382 0.028 0.749
Au4 0.472 0.382 0.751
Au5 0.528 0.618 0.249
Au6 0.618 0.972 0.251
Au7 0.882 0.528 0.251
Au8 0.972 0.882 0.249

Summary:
Total magnetic moment: 0.0000 μB per atom
Crystal system: tetragonal
Electronic total energy: -25.66 eV/f.u.

***

The following is a DFT calculation (PBE-GGA) of a relaxed structure of NaLi2Au.

Cell lengths 4.399, 4.399, 3.886 Å; angles 90.00, 90.00, 90.00 degrees
Element x y z (fractional)
Na1 0.000 0.000 0.000
Li1 0.000 0.500 0.500
Li2 0.500 0.000 0.500
Au1 0.500 0.500 0.000

Summary:
Total magnetic moment: 0.0000 μB per atom
Crystal system: tetragonal
Electronic total energy: -9.37 eV/f.u.

***

The following is a DFT calculation (PBE-GGA) of a relaxed structure of NaLi2Au2.

Cell lengths 7.793, 7.793, 2.926 Å; angles 90.00, 90.00, 90.00 degrees
Element x y z (fractional)
Na1 0.000 0.000 0.000
Na2 0.500 0.500 0.000
Li1 0.126 0.374 0.000
Li2 0.374 0.874 0.000
Li3 0.626 0.126 0.000
Li4 0.874 0.626 0.000
Au1 0.166 0.666 0.500
Au2 0.334 0.166 0.500
Au3 0.666 0.834 0.500
Au4 0.834 0.334 0.500

Summary:
Total magnetic moment: 0.0000 μB per atom
Crystal system: tetragonal
Electronic total energy: -13.96 eV/f.u.

***

The following is a DFT calculation (PBE-GGA) of a relaxed structure of NaLi2Au.

Cell lengths 4.688, 4.688, 4.688 Å; angles 60.00, 60.00, 60.00 degrees
Element x y z (fractional)
Na1 0.000 0.000 0.000
Li1 0.250 0.250 0.250
Li2 0.750 0.750 0.750
Au1 0.500 0.500 0.500

Summary:
Total magnetic moment: 0.0000 μB per atom
Crystal system: cubic
Electronic total energy: -9.65 eV/f.u.

***

The following is a DFT calculation (PBE-GGA) of a relaxed structure of NaLi4Au2.

Cell lengths 6.565, 6.565, 6.565 Å; angles 136.39, 136.39, 63.38 degrees
Element x y z (fractional)
Na1 0.000 0.000 0.000
Li1 0.000 0.500 0.500
Li2 0.250 0.750 0.500
Li3 0.500 0.000 0.500
Li4 0.750 0.250 0.500
Au1 0.375 0.375 0.000
Au2 0.625 0.625 0.000

Summary:
Total magnetic moment: 0.0000 μB per atom
Crystal system: tetragonal
Electronic total energy: -16.73 eV/f.u.

***

The following is a DFT calculation (PBE-GGA) of a relaxed structure of NaLi2Au.

Cell lengths 5.587, 5.587, 5.587 Å; angles 47.63, 47.63, 47.63 degrees
Element x y z (fractional)
Na1 0.000 0.000 0.000
Li1 0.534 0.534 0.534
Li2 0.794 0.794 0.794
Au1 0.203 0.203 0.203

Summary:
Total magnetic moment: 0.0000 μB per atom
Crystal system: trigonal
Electronic total energy: -9.48 eV/f.u.